Computed, not measured: a relaxed CaInBiCl6 crystal at the PBE level of DFT.

Cell lengths 7.1808, 7.1808, 13.7813 Å; angles 90.00, 90.00, 120.00 degrees
Space group P-31c (No. 163)
Asymmetric unit:
1 Ca 0.3333 0.6667 0.2500 x2
2 In 0.0000 0.0000 0.0000 x2
3 Bi 0.3333 0.6667 0.7500 x2
4 Cl 0.0025 0.3682 0.6381 x12

Results
* formation energy without anion corrections: -1.44 eV per atom
* calculated volume: 307.7 Å³/f.u.
* crystal system: trigonal
* total DFT energy (no corrections): -3.63 eV per atom
* M_tot: 0.00 μB/cell